This record from Alexandria describes crystalline Sr3TbHo3S8 at its relaxed geometry. The functional is GGA-PBE.

Calculated total energy = -5.84 eV/atom
Fermi-level density of states = 4.607 states/eV/f.u.
V = 25.17 Å³/atom
Formation energy (no corrections) = -2.081 eV per atom

Lattice parameters (Å, degrees): 8.253 8.253 8.253 57.82 57.82 57.82
Fractional coordinates of all 15 atoms:
Sr (0.000, 0.500, 0.500)
Sr (0.500, 0.000, 0.500)
Sr (0.500, 0.500, 0.000)
Tb (0.500, 0.500, 0.500)
Ho (0.000, 0.000, 0.500)
Ho (0.000, 0.500, 0.000)
Ho (0.500, 0.000, 0.000)
S (0.240, 0.742, 0.742)
S (0.242, 0.242, 0.242)
S (0.258, 0.258, 0.760)
S (0.258, 0.760, 0.258)
S (0.742, 0.240, 0.742)
S (0.742, 0.742, 0.240)
S (0.758, 0.758, 0.758)
S (0.760, 0.258, 0.258)


This record from Alexandria describes crystalline RbSn3Br12 at its relaxed geometry. The functional is GGA-PBE.

Calculated total energy = -2.81 eV/atom
Fermi-level density of states = 6.432 states/eV/f.u.
V = 46.83 Å³/atom
Formation energy (no corrections) = -0.749 eV per atom

Lattice parameters (Å, degrees): 13.706 13.706 9.210 90.00 90.00 120.00
Fractional coordinates of all 32 atoms:
Rb (0.333, 0.667, 0.250)
Rb (0.667, 0.333, 0.750)
Sn (0.100, 0.733, 0.750)
Sn (0.267, 0.367, 0.750)
Sn (0.367, 0.100, 0.250)
Sn (0.633, 0.900, 0.750)
Sn (0.733, 0.633, 0.250)
Sn (0.900, 0.267, 0.250)
Br (0.006, 0.851, 0.750)
Br (0.024, 0.482, 0.250)
Br (0.149, 0.156, 0.750)
Br (0.156, 0.006, 0.250)
Br (0.212, 0.440, 0.529)
Br (0.212, 0.440, 0.971)
Br (0.229, 0.788, 0.529)
Br (0.229, 0.788, 0.971)
Br (0.440, 0.229, 0.029)
Br (0.440, 0.229, 0.471)
Br (0.458, 0.976, 0.250)
Br (0.482, 0.458, 0.750)
Br (0.518, 0.542, 0.250)
Br (0.542, 0.024, 0.750)
Br (0.560, 0.771, 0.529)
Br (0.560, 0.771, 0.971)
Br (0.771, 0.212, 0.029)
Br (0.771, 0.212, 0.471)
Br (0.788, 0.560, 0.029)
Br (0.788, 0.560, 0.471)
Br (0.844, 0.994, 0.750)
Br (0.851, 0.844, 0.250)
Br (0.976, 0.518, 0.750)
Br (0.994, 0.149, 0.250)


This record from Alexandria describes crystalline YCoAu2 at its relaxed geometry. The functional is GGA-PBE.

Calculated total energy = -5.35 eV/atom
Fermi-level density of states = 3.794 states/eV/f.u.
V = 19.73 Å³/atom
Calculated formation energy = -123 kJ/mol of formula units

Lattice parameters (Å, degrees): 4.472 4.472 13.673 90.00 90.00 120.00
Fractional coordinates of all 12 atoms:
Y (0.000, 0.000, 0.000)
Y (0.333, 0.667, 0.667)
Y (0.667, 0.333, 0.333)
Co (0.000, 0.000, 0.800)
Co (0.333, 0.667, 0.467)
Co (0.667, 0.333, 0.134)
Au (0.000, 0.000, 0.218)
Au (0.000, 0.000, 0.457)
Au (0.333, 0.667, 0.123)
Au (0.333, 0.667, 0.885)
Au (0.667, 0.333, 0.551)
Au (0.667, 0.333, 0.790)


This record from Alexandria describes crystalline YTe2I2 at its relaxed geometry. The functional is GGA-PBE.

Calculated total energy = -3.52 eV/atom
Fermi-level density of states = 5.251 states/eV/f.u.
V = 35.04 Å³/atom
Formation energy (no corrections) = -0.348 eV per atom
Polymorph energy (0 for the lowest one) = 187 meV per atom

Lattice parameters (Å, degrees): 7.864 7.864 5.666 90.00 90.00 90.00
Fractional coordinates of all 10 atoms:
Y (0.000, 0.000, 0.000)
Y (0.500, 0.500, 0.000)
Te (0.130, 0.370, 0.000)
Te (0.370, 0.870, 0.000)
Te (0.630, 0.130, 0.000)
Te (0.870, 0.630, 0.000)
I (0.193, 0.693, 0.500)
I (0.307, 0.193, 0.500)
I (0.693, 0.807, 0.500)
I (0.807, 0.307, 0.500)


This record from Alexandria describes crystalline Rb2ZrBiB at its relaxed geometry. The functional is GGA-PBE.

Calculated total energy = -2.70 eV/atom
Fermi-level density of states = 2.875 states/eV/f.u.
V = 56.73 Å³/atom
Calculated formation energy = 730 kJ/mol of formula units

Lattice parameters (Å, degrees): 7.097 7.097 5.633 90.00 90.00 90.00
Fractional coordinates of all 5 atoms:
Rb (0.000, 0.500, 0.000)
Rb (0.500, 0.000, 0.000)
Zr (0.000, 0.000, 0.000)
Bi (0.000, 0.000, 0.500)
B (0.500, 0.500, 0.500)


This record from Alexandria describes crystalline LaMnRu at its relaxed geometry. The functional is GGA-PBE.

Calculated total energy = -7.61 eV/atom
Fermi-level density of states = 2.963 states/eV/f.u.
V = 20.47 Å³/atom
Calculated formation energy = 53 kJ/mol of formula units

Lattice parameters (Å, degrees): 3.381 3.381 10.742 90.00 90.00 90.00
Fractional coordinates of all 6 atoms:
La (0.000, 0.000, 0.000)
La (0.500, 0.500, 0.500)
Mn (0.000, 0.000, 0.285)
Mn (0.500, 0.500, 0.785)
Ru (0.000, 0.000, 0.699)
Ru (0.500, 0.500, 0.199)


This record from Alexandria describes crystalline CaGdLuIn at its relaxed geometry. The functional is GGA-PBE.

Calculated total energy = -5.94 eV/atom
Fermi-level density of states = 4.861 states/eV/f.u.
V = 29.52 Å³/atom
Calculated formation energy = -41 kJ/mol of formula units

Lattice parameters (Å, degrees): 7.788 7.788 7.788 90.00 90.00 90.00
Fractional coordinates of all 16 atoms:
Ca (0.000, 0.000, 0.000)
Ca (0.000, 0.500, 0.500)
Ca (0.500, 0.000, 0.500)
Ca (0.500, 0.500, 0.000)
Gd (0.000, 0.000, 0.500)
Gd (0.000, 0.500, 0.000)
Gd (0.500, 0.000, 0.000)
Gd (0.500, 0.500, 0.500)
Lu (0.250, 0.250, 0.750)
Lu (0.250, 0.750, 0.250)
Lu (0.750, 0.250, 0.250)
Lu (0.750, 0.750, 0.750)
In (0.250, 0.250, 0.250)
In (0.250, 0.750, 0.750)
In (0.750, 0.250, 0.750)
In (0.750, 0.750, 0.250)


This record from Alexandria describes crystalline ScCrP2 at its relaxed geometry. The functional is GGA-PBE.

Calculated total energy = -7.08 eV/atom
Fermi-level density of states = 1.761 states/eV/f.u.
V = 22.30 Å³/atom
Polymorph energy (0 for the lowest one) = 479 meV per atom
Calculated formation energy = -148 kJ/mol of formula units

Lattice parameters (Å, degrees): 5.550 5.550 11.583 90.00 90.00 90.00
Fractional coordinates of all 16 atoms:
Sc (0.000, 0.000, 0.000)
Sc (0.000, 0.500, 0.250)
Sc (0.500, 0.000, 0.750)
Sc (0.500, 0.500, 0.500)
Cr (0.000, 0.000, 0.500)
Cr (0.000, 0.500, 0.750)
Cr (0.500, 0.000, 0.250)
Cr (0.500, 0.500, 0.000)
P (0.209, 0.250, 0.625)
P (0.250, 0.709, 0.875)
P (0.250, 0.791, 0.375)
P (0.291, 0.250, 0.125)
P (0.709, 0.750, 0.125)
P (0.750, 0.209, 0.375)
P (0.750, 0.291, 0.875)
P (0.791, 0.750, 0.625)


This record from Alexandria describes crystalline RbSbTe2Mo at its relaxed geometry. The functional is GGA-PBE.

Calculated total energy = -2.15 eV/atom
Fermi-level density of states = 19.041 states/eV/f.u.
V = 40.01 Å³/atom
Formation energy (no corrections) = 2.290 eV per atom
Polymorph energy (0 for the lowest one) = 2267 meV per atom

Lattice parameters (Å, degrees): 5.913 5.913 5.721 90.00 90.00 90.00
Fractional coordinates of all 5 atoms:
Rb (0.000, 0.000, 0.000)
Sb (0.000, 0.000, 0.500)
Te (0.000, 0.500, 0.000)
Te (0.500, 0.000, 0.000)
Mo (0.500, 0.500, 0.500)


This record from Alexandria describes crystalline RuPb4N4 at its relaxed geometry. The functional is GGA-PBE.

Calculated total energy = -5.85 eV/atom
Fermi-level density of states = 3.871 states/eV/f.u.
V = 21.28 Å³/atom
Formation energy (no corrections) = 0.530 eV per atom

Lattice parameters (Å, degrees): 6.127 6.679 10.739 100.94 99.23 113.15
Fractional coordinates of all 18 atoms:
Ru (0.172, 0.334, 0.145)
Ru (0.828, 0.666, 0.855)
Pb (0.063, 0.846, 0.238)
Pb (0.261, 0.678, 0.642)
Pb (0.371, 0.178, 0.570)
Pb (0.456, 0.758, 0.030)
Pb (0.544, 0.242, 0.970)
Pb (0.629, 0.822, 0.430)
Pb (0.739, 0.322, 0.358)
Pb (0.937, 0.154, 0.762)
N (0.137, 0.797, 0.841)
N (0.202, 0.349, 0.975)
N (0.317, 0.645, 0.233)
N (0.346, 0.176, 0.194)
N (0.654, 0.824, 0.806)
N (0.683, 0.355, 0.767)
N (0.798, 0.651, 0.025)
N (0.863, 0.203, 0.159)


This record from Alexandria describes crystalline CeSmN at its relaxed geometry. The functional is GGA-PBE.

Calculated total energy = -7.21 eV/atom
Fermi-level density of states = 5.515 states/eV/f.u.
V = 22.93 Å³/atom
Formation energy (no corrections) = -0.889 eV per atom
Polymorph energy (0 for the lowest one) = 0 meV per atom

Lattice parameters (Å, degrees): 3.545 3.545 6.319 90.00 90.00 120.00
Fractional coordinates of all 3 atoms:
Ce (0.000, 0.000, 0.000)
Sm (0.667, 0.333, 0.562)
N (0.333, 0.667, 0.791)


This record from Alexandria describes crystalline DySb6Rh12 at its relaxed geometry. The functional is GGA-PBE.

Calculated total energy = -6.47 eV/atom
Fermi-level density of states = 13.180 states/eV/f.u.
V = 18.51 Å³/atom
Formation energy (no corrections) = -0.283 eV per atom

Lattice parameters (Å, degrees): 7.496 7.496 7.496 106.90 106.90 106.90
Fractional coordinates of all 19 atoms:
Dy (0.000, 0.000, 0.000)
Sb (0.269, 0.269, 0.704)
Sb (0.269, 0.704, 0.269)
Sb (0.296, 0.731, 0.731)
Sb (0.704, 0.269, 0.269)
Sb (0.731, 0.296, 0.731)
Sb (0.731, 0.731, 0.296)
Rh (0.123, 0.500, 0.877)
Rh (0.123, 0.877, 0.500)
Rh (0.162, 0.394, 0.394)
Rh (0.394, 0.162, 0.394)
Rh (0.394, 0.394, 0.162)
Rh (0.500, 0.123, 0.877)
Rh (0.500, 0.877, 0.123)
Rh (0.606, 0.606, 0.838)
Rh (0.606, 0.838, 0.606)
Rh (0.838, 0.606, 0.606)
Rh (0.877, 0.123, 0.500)
Rh (0.877, 0.500, 0.123)


This record from Alexandria describes crystalline CeZnCd4 at its relaxed geometry. The functional is GGA-PBE.

Calculated total energy = -1.87 eV/atom
Fermi-level density of states = 9.772 states/eV/f.u.
V = 24.14 Å³/atom
Calculated formation energy = -33 kJ/mol of formula units

Lattice parameters (Å, degrees): 9.167 9.167 5.045 105.96 105.96 45.71
Fractional coordinates of all 12 atoms:
Ce (0.205, 0.205, 0.206)
Ce (0.795, 0.795, 0.794)
Zn (0.498, 0.498, 0.734)
Zn (0.502, 0.502, 0.266)
Cd (0.109, 0.651, 0.378)
Cd (0.183, 0.817, 0.000)
Cd (0.335, 0.335, 0.837)
Cd (0.349, 0.891, 0.622)
Cd (0.651, 0.109, 0.378)
Cd (0.665, 0.665, 0.163)
Cd (0.817, 0.183, 0.000)
Cd (0.891, 0.349, 0.622)


This record from Alexandria describes crystalline TlBW2 at its relaxed geometry. The functional is GGA-PBE.

Calculated total energy = -7.31 eV/atom
Fermi-level density of states = 3.450 states/eV/f.u.
V = 20.23 Å³/atom
Polymorph energy (0 for the lowest one) = 0 meV per atom
Calculated formation energy = 551 kJ/mol of formula units

Lattice parameters (Å, degrees): 4.853 4.853 13.741 90.00 90.00 90.00
Fractional coordinates of all 16 atoms:
Tl (0.000, 0.000, 0.000)
Tl (0.000, 0.500, 0.250)
Tl (0.500, 0.000, 0.750)
Tl (0.500, 0.500, 0.500)
B (0.000, 0.000, 0.500)
B (0.000, 0.500, 0.750)
B (0.500, 0.000, 0.250)
B (0.500, 0.500, 0.000)
W (0.105, 0.250, 0.625)
W (0.250, 0.605, 0.875)
W (0.250, 0.895, 0.375)
W (0.395, 0.250, 0.125)
W (0.605, 0.750, 0.125)
W (0.750, 0.105, 0.375)
W (0.750, 0.395, 0.875)
W (0.895, 0.750, 0.625)


This record from Alexandria describes crystalline KVS2Cl at its relaxed geometry. The functional is GGA-PBE.

Calculated total energy = -3.15 eV/atom
Fermi-level density of states = 8.164 states/eV/f.u.
V = 32.29 Å³/atom
Formation energy (no corrections) = 0.917 eV per atom
Polymorph energy (0 for the lowest one) = 1891 meV per atom

Lattice parameters (Å, degrees): 5.489 5.489 5.359 90.00 90.00 90.00
Fractional coordinates of all 5 atoms:
K (0.000, 0.000, 0.000)
V (0.500, 0.500, 0.500)
S (0.000, 0.500, 0.000)
S (0.500, 0.000, 0.000)
Cl (0.000, 0.000, 0.500)


This record from Alexandria describes crystalline Ga2H2Rh at its relaxed geometry. The functional is GGA-PBE.

Calculated total energy = -4.20 eV/atom
Fermi-level density of states = 1.134 states/eV/f.u.
V = 11.17 Å³/atom
Polymorph energy (0 for the lowest one) = 0 meV per atom

Lattice parameters (Å, degrees): 4.597 4.597 5.284 90.00 90.00 90.00
Fractional coordinates of all 10 atoms:
Ga (0.000, 0.500, 0.250)
Ga (0.000, 0.500, 0.750)
Ga (0.500, 0.000, 0.250)
Ga (0.500, 0.000, 0.750)
H (0.000, 0.000, 0.186)
H (0.000, 0.000, 0.814)
H (0.500, 0.500, 0.314)
H (0.500, 0.500, 0.686)
Rh (0.000, 0.000, 0.500)
Rh (0.500, 0.500, 0.000)


This record from Alexandria describes crystalline Be5HRh6 at its relaxed geometry. The functional is GGA-PBE.

Calculated total energy = -5.89 eV/atom
Fermi-level density of states = 9.986 states/eV/f.u.
V = 10.57 Å³/atom

Lattice parameters (Å, degrees): 6.761 6.761 3.918 106.82 106.82 119.86
Fractional coordinates of all 12 atoms:
Be (0.000, 0.000, 0.000)
Be (0.166, 0.834, 0.500)
Be (0.321, 0.679, 0.000)
Be (0.679, 0.321, 0.000)
Be (0.834, 0.166, 0.500)
H (0.500, 0.500, 0.500)
Rh (0.092, 0.418, 0.255)
Rh (0.262, 0.262, 0.761)
Rh (0.418, 0.092, 0.255)
Rh (0.582, 0.908, 0.745)
Rh (0.738, 0.738, 0.239)
Rh (0.908, 0.582, 0.745)


This record from Alexandria describes crystalline Be2FeCu at its relaxed geometry. The functional is GGA-PBE.

Calculated total energy = -5.06 eV/atom
Fermi-level density of states = 1.538 states/eV/f.u.
V = 9.55 Å³/atom
Calculated formation energy = -22 kJ/mol of formula units

Lattice parameters (Å, degrees): 8.363 2.425 3.979 90.00 108.70 90.00
Fractional coordinates of all 8 atoms:
Be (0.000, 0.000, 0.000)
Be (0.224, 0.500, 0.356)
Be (0.500, 0.500, 0.000)
Be (0.724, 0.000, 0.356)
Fe (0.475, 0.000, 0.484)
Fe (0.975, 0.500, 0.484)
Cu (0.252, 0.000, 0.868)
Cu (0.752, 0.500, 0.868)


This record from Alexandria describes crystalline Li2HgPd4 at its relaxed geometry. The functional is GGA-PBE.

Calculated total energy = -3.82 eV/atom
Fermi-level density of states = 4.100 states/eV/f.u.
V = 17.02 Å³/atom
Polymorph energy (0 for the lowest one) = 0 meV per atom
Calculated formation energy = -178 kJ/mol of formula units

Lattice parameters (Å, degrees): 5.402 9.380 5.393 90.00 119.30 90.00
Fractional coordinates of all 14 atoms:
Li (0.184, 0.016, 0.333)
Li (0.184, 0.484, 0.833)
Li (0.816, 0.516, 0.167)
Li (0.816, 0.984, 0.667)
Hg (0.500, 0.000, 0.000)
Hg (0.500, 0.500, 0.500)
Pd (0.096, 0.222, 0.871)
Pd (0.096, 0.278, 0.371)
Pd (0.400, 0.731, 0.135)
Pd (0.400, 0.769, 0.635)
Pd (0.600, 0.231, 0.365)
Pd (0.600, 0.269, 0.865)
Pd (0.904, 0.722, 0.629)
Pd (0.904, 0.778, 0.129)


This record from Alexandria describes crystalline CoOsBr at its relaxed geometry. The functional is GGA-PBE.

Calculated total energy = -6.36 eV/atom
Fermi-level density of states = 1.787 states/eV/f.u.
V = 20.65 Å³/atom
Formation energy (no corrections) = 0.310 eV per atom
Polymorph energy (0 for the lowest one) = 0 meV per atom

Lattice parameters (Å, degrees): 3.726 3.732 8.948 94.96 92.36 90.36
Fractional coordinates of all 6 atoms:
Co (0.000, 0.000, 0.000)
Co (0.015, 0.540, 0.180)
Os (0.493, 0.495, 0.000)
Os (0.526, 0.037, 0.182)
Br (0.215, 0.157, 0.762)
Br (0.647, 0.595, 0.404)